First-principles (PBE) data for crystalline ZrTe2W at its relaxed geometry, as listed in the Alexandria database.

Output
**Distance to the lowest polymorph of the same formula**: 25.8 meV per atom
**Raw formation energy**: -102 meV per atom
**Magnetization**: 0.00 μB per formula unit
**D(E_F)**: 1.86 states/eV/cell

abc: 3.4472 3.4472 30.9851
angles: 90.00 90.00 120.00
Closest atoms and distances in Å follow each position.
Space group R3m (No. 160, hexagonal axes)
Asymmetric unit:
Zr  0.0000  0.0000  0.0000 (multiplicity 3)  3 W 2.90, 3 Te 2.96
Te  0.0000  0.0000  0.5372 (multiplicity 3)  3 W 2.75
Te  0.0000  0.0000  0.7374 (multiplicity 3)  3 Zr 2.96
W  0.0000  0.0000  0.2652 (multiplicity 3)  3 Te 2.75, 3 Zr 2.90



First-principles (PBE) data for crystalline NdNp4Pd15 at its relaxed geometry, as listed in the Alexandria database.

Output
**Magnetization**: 13.50 μB per formula unit
**D(E_F)**: 46.58 states/eV/cell
**ΔH_f (0 K)**: -49.8 kJ/mol of atoms

abc: 4.1652 4.1652 20.7620
angles: 90.00 90.00 90.00
Closest atoms and distances in Å follow each position.
Space group P4/mmm (No. 123)
Asymmetric unit:
Nd  0.0000  0.0000  0.0000 (multiplicity 1)  12 Pd 2.95-3.00
Np  0.0000  0.0000  0.2009 (multiplicity 2)  12 Pd 2.90-2.95
Np  0.0000  0.0000  0.4003 (multiplicity 2)  12 Pd 2.93-2.95
Pd  0.0000  0.5000  0.1038 (multiplicity 4)  2 Np 2.90, 8 Pd 2.91-3.00, 2 Nd 3.00
Pd  0.0000  0.5000  0.3009 (multiplicity 4)  8 Pd 2.92-2.95, 4 Np 2.93-2.94
Pd  0.0000  0.5000  0.5000 (multiplicity 2)  8 Pd 2.93-2.95, 4 Np 2.94
Pd  0.5000  0.5000  0.0000 (multiplicity 1)  4 Nd 2.95, 8 Pd 3.00
Pd  0.5000  0.5000  0.2020 (multiplicity 2)  8 Pd 2.91-2.92, 4 Np 2.95
Pd  0.5000  0.5000  0.4006 (multiplicity 2)  8 Pd 2.93-2.94, 4 Np 2.95



First-principles (PBE) data for crystalline In2RePb at its relaxed geometry, as listed in the Alexandria database.

Output
**Distance to the lowest polymorph of the same formula**: 0.0 meV per atom
**Magnetization**: 0.00 μB per formula unit
**D(E_F)**: 4.44 states/eV/cell
**ΔH_f (0 K)**: 42.9 kJ/mol of atoms

abc: 2.9657 4.8325 13.9775
angles: 90.00 90.00 90.00
Closest atoms and distances in Å follow each position.
Space group Imm2 (No. 44)
Asymmetric unit:
In  0.0000  0.0000  0.0000 (multiplicity 2)  4 Re 2.83, 2 In 2.97
In  0.0000  0.5000  0.1758 (multiplicity 2)  2 Re 2.87, 2 In 2.97
Re  0.0000  0.0000  0.5002 (multiplicity 2)  6 In 2.83-2.87, 2 Re 2.97, 2 Pb 2.98
Pb  0.0000  0.5000  0.8148 (multiplicity 2)  2 Pb 2.97, 2 Re 2.98



First-principles (PBE) data for crystalline Cs2BiPbBr6 at its relaxed geometry, as listed in the Alexandria database.

Output
**Raw formation energy**: -1135 meV per atom
**Magnetization**: 0.00 μB per formula unit
**D(E_F)**: 10.14 states/eV/cell

abc: 8.4296 8.4296 11.9866
angles: 90.00 90.00 90.00
Closest atoms and distances in Å follow each position.
Space group I4/mmm (No. 139)
Asymmetric unit:
Cs  0.0000  0.5000  0.2500 (multiplicity 4)  12 Br 4.21-4.23
Bi  0.0000  0.0000  0.0000 (multiplicity 2)  6 Br 2.94-2.96
Pb  0.0000  0.0000  0.5000 (multiplicity 2)  6 Br 3.02-3.03
Br  0.0000  0.0000  0.2473 (multiplicity 4)  1 Bi 2.96, 1 Pb 3.03
Br  0.2468  0.2468  0.0000 (multiplicity 8)  1 Bi 2.94, 1 Pb 3.02



First-principles (PBE) data for crystalline InFe2Se at its relaxed geometry, as listed in the Alexandria database.

Output
**Distance to the lowest polymorph of the same formula**: 312.8 meV per atom
**Raw formation energy**: 385 meV per atom
**Magnetization**: 4.75 μB per formula unit
**D(E_F)**: 8.31 states/eV/cell

abc: 6.2364 6.2044 3.3037
angles: 90.00 90.13 90.00
Closest atoms and distances in Å follow each position.
Space group C2/m (No. 12)
Asymmetric unit:
In  0.0000  0.0000  0.0000 (multiplicity 2)  8 Fe 2.75
Fe  0.2500  0.2500  0.5000 (multiplicity 4)  4 In 2.75, 4 Se 2.75
Se  0.0000  0.5000  0.0000 (multiplicity 2)  8 Fe 2.75



First-principles (PBE) data for crystalline KTa2Br at its relaxed geometry, as listed in the Alexandria database.

Output
**Distance to the lowest polymorph of the same formula**: 51.4 meV per atom
**Raw formation energy**: 256 meV per atom
**Magnetization**: 0.00 μB per formula unit
**D(E_F)**: 4.92 states/eV/cell

abc: 6.3903 3.1548 10.1107
angles: 90.00 103.03 90.00
Closest atoms and distances in Å follow each position.
Space group Cm (No. 8)
Asymmetric unit:
K  0.0000  0.0000  0.0000 (multiplicity 2)  2 K 3.15, 3 Br 3.23-3.25
Ta  0.1262  0.5000  0.5085 (multiplicity 2)  3 Ta 2.67-2.75, 2 Br 2.77
Ta  0.3589  0.5000  0.3201 (multiplicity 2)  3 Ta 2.67-2.75
Br  0.2147  0.0000  0.7402 (multiplicity 2)  2 Ta 2.77



First-principles (PBE) data for crystalline LiCuAu at its relaxed geometry, as listed in the Alexandria database.

Output
**Distance to the lowest polymorph of the same formula**: 0.0 meV per atom
**Magnetization**: 0.00 μB per formula unit
**D(E_F)**: 2.51 states/eV/cell
**ΔH_f (0 K)**: -24.8 kJ/mol of atoms

abc: 2.7642 3.8863 8.1092
angles: 90.00 90.00 90.00
Closest atoms and distances in Å follow each position.
Space group Imm2 (No. 44)
Asymmetric unit:
Li  0.0000  0.0000  0.0000 (multiplicity 2)  5 Au 2.69-2.75, 5 Cu 2.70-2.74, 2 Li 2.76
Cu  0.0000  0.0000  0.3332 (multiplicity 2)  5 Li 2.70-2.74, 5 Au 2.71-2.74, 2 Cu 2.76
Au  0.0000  0.0000  0.6679 (multiplicity 2)  5 Li 2.69-2.75, 5 Cu 2.71-2.74, 2 Au 2.76



First-principles (PBE) data for crystalline Tb3Sb5S12 at its relaxed geometry, as listed in the Alexandria database.

Output
**Raw formation energy**: -735 meV per atom
**Magnetization**: 0.00 μB per formula unit

abc: 16.1587 16.1587 16.1587
angles: 90.00 90.00 90.00
Closest atoms and distances in Å follow each position.
Space group Ia-3d (No. 230)
Asymmetric unit:
Tb  0.0000  0.2500  0.1250 (multiplicity 24)  8 S 2.96-2.98
Sb  0.0000  0.0000  0.0000 (multiplicity 16)  6 S 2.74
Sb  0.0000  0.2500  0.3750 (multiplicity 24)  4 S 2.60
S  0.0154  0.0686  0.6540 (multiplicity 96)  2 Sb 2.60-2.74



First-principles (PBE) data for crystalline PSe2Br at its relaxed geometry, as listed in the Alexandria database.

Output
**Distance to the lowest polymorph of the same formula**: 512.9 meV per atom
**Raw formation energy**: 494 meV per atom
**Magnetization**: 0.00 μB per formula unit
**D(E_F)**: 3.49 states/eV/cell

abc: 5.5964 5.5964 5.7627
angles: 90.00 90.00 90.00
Closest atoms and distances in Å follow each position.
Space group I4/mmm (No. 139)
Asymmetric unit:
P  0.0000  0.0000  0.0000 (multiplicity 2)  4 Se 2.80, 2 Br 2.88
Se  0.0000  0.5000  0.0000 (multiplicity 4)  2 Br 2.80, 2 P 2.80, 2 Se 2.88
Br  0.0000  0.0000  0.5000 (multiplicity 2)  4 Se 2.80, 2 P 2.88



First-principles (PBE) data for crystalline HgOs2Pt at its relaxed geometry, as listed in the Alexandria database.

Output
**Magnetization**: 1.44 μB per formula unit
**D(E_F)**: 23.67 states/eV/cell
**ΔH_f (0 K)**: 86.8 kJ/mol of atoms

abc: 6.4004 6.4004 6.4004
angles: 90.00 90.00 90.00
Closest atoms and distances in Å follow each position.
Space group F-43m (No. 216)
Asymmetric unit:
Hg  0.0000  0.0000  0.0000 (multiplicity 4)  4 Os 2.77, 4 Pt 2.77
Os  0.0000  0.0000  0.5000 (multiplicity 4)  4 Pt 2.77, 4 Os 2.77
Os  0.2500  0.2500  0.7500 (multiplicity 4)  4 Hg 2.77, 4 Os 2.77
Pt  0.2500  0.2500  0.2500 (multiplicity 4)  4 Hg 2.77, 4 Os 2.77



First-principles (PBE) data for crystalline Ca3Pm2Hg4 at its relaxed geometry, as listed in the Alexandria database.

Output
**Magnetization**: 0.00 μB per formula unit
**D(E_F)**: 11.63 states/eV/cell
**ΔH_f (0 K)**: -42.6 kJ/mol of atoms

abc: 9.2374 5.3257 10.5313
angles: 90.00 90.06 90.00
Closest atoms and distances in Å follow each position.
Space group C2/m (No. 12)
Asymmetric unit:
Ca  0.0000  0.0000  0.0000 (multiplicity 2)  8 Hg 3.26-3.48
Ca  0.1663  0.5000  0.5882 (multiplicity 4)  4 Hg 3.19-3.25
Pm  0.1668  0.5000  0.2031 (multiplicity 4)  7 Hg 3.23-3.36
Hg  0.0006  0.0000  0.3305 (multiplicity 4)  4 Ca 3.19-3.48, 3 Pm 3.35-3.36, 1 Hg 3.57
Hg  0.1667  0.5000  0.8965 (multiplicity 4)  4 Pm 3.23-3.25, 4 Ca 3.25-3.27



First-principles (PBE) data for crystalline Nd12Ho3Pu at its relaxed geometry, as listed in the Alexandria database.

Output
**Magnetization**: 6.40 μB per formula unit
**D(E_F)**: 31.62 states/eV/cell
**ΔH_f (0 K)**: 4.3 kJ/mol of atoms

abc: 5.1456 5.1456 20.5258
angles: 90.00 90.00 90.00
Closest atoms and distances in Å follow each position.
Space group P4/mmm (No. 123)
Asymmetric unit:
Nd  0.0000  0.0000  0.0000 (multiplicity 1)  8 Nd 3.60, 4 Pu 3.64
Nd  0.0000  0.0000  0.2495 (multiplicity 2)  8 Nd 3.63-3.66, 4 Ho 3.64
Nd  0.0000  0.0000  0.5000 (multiplicity 1)  4 Ho 3.64, 8 Nd 3.64
Nd  0.0000  0.5000  0.1226 (multiplicity 4)  8 Nd 3.60-3.66, 2 Pu 3.60, 2 Ho 3.66
Nd  0.0000  0.5000  0.3743 (multiplicity 4)  8 Nd 3.63-3.64, 4 Ho 3.63-3.64
Ho  0.5000  0.5000  0.2492 (multiplicity 2)  12 Nd 3.63-3.66
Ho  0.5000  0.5000  0.5000 (multiplicity 1)  12 Nd 3.64
Pu  0.5000  0.5000  0.0000 (multiplicity 1)  12 Nd 3.60-3.64